{
  "formula": "ErMgAl2Pt4",
  "functional": "PBE",
  "state": "relaxed",
  "lattice_angstrom": [[2.168, 1.252, 8.354], [-2.168, 1.252, 8.354], [0.000, -2.504, 8.354]],
  "species": ["Er", "Mg", "Al", "Al", "Pt", "Pt", "Pt", "Pt"],
  "fractional_positions": [[0.000, 0.000, 0.000], [0.500, 0.500, 0.500], [0.242, 0.242, 0.242], [0.758, 0.758, 0.758], [0.130, 0.130, 0.130], [0.397, 0.397, 0.397], [0.603, 0.603, 0.603], [0.870, 0.870, 0.870]],
  "delta_e_f_kj_per_mol_atoms": -99,
  "m_tot_mub_per_fu": 0.00,
  "density_kg_m3": 12519,
  "dos_at_fermi_per_ev_fu": 3.0
}

---

{
  "formula": "Ti12NiSn6",
  "functional": "PBE",
  "state": "relaxed",
  "lattice_angstrom": [[5.017, 2.896, 4.009], [-5.017, 2.896, 4.009], [0.000, -5.793, 4.009]],
  "species": ["Ti", "Ti", "Ti", "Ti", "Ti", "Ti", "Ti", "Ti", "Ti", "Ti", "Ti", "Ti", "Ni", "Sn", "Sn", "Sn", "Sn", "Sn", "Sn"],
  "fractional_positions": [[0.027, 0.297, 0.949], [0.051, 0.973, 0.703], [0.125, 0.356, 0.434], [0.297, 0.949, 0.027], [0.356, 0.434, 0.125], [0.434, 0.125, 0.356], [0.566, 0.875, 0.644], [0.644, 0.566, 0.875], [0.703, 0.051, 0.973], [0.875, 0.644, 0.566], [0.949, 0.027, 0.297], [0.973, 0.703, 0.051], [0.500, 0.500, 0.500], [0.221, 0.754, 0.375], [0.246, 0.625, 0.779], [0.375, 0.221, 0.754], [0.625, 0.779, 0.246], [0.754, 0.375, 0.221], [0.779, 0.246, 0.625]],
  "delta_e_f_kj_per_mol_atoms": -17,
  "m_tot_mub_per_fu": 0.00,
  "density_kg_m3": 6392,
  "dos_at_fermi_per_ev_fu": 21.4
}

---

Q: What is the formula in the second record?
A: Ti12NiSn6